# 1
# PIrC2Se (GGA-PBE, relaxed)
# Size of the total moment = 0.00 μB/cell
# ΔE_f (raw) = 30.1 kcal/mol of atoms
# V = 16.2 Å³/atom
data_PIrC2Se
_cell_length_a 3.8453
_cell_length_b 3.8453
_cell_length_c 5.4629
_cell_angle_alpha 90.00
_cell_angle_beta 90.00
_cell_angle_gamma 90.00
_space_group_name_H-M_alt 'P 4/m m m'
_space_group_IT_number 123
_space_group_name_Hall '-P 4 2'
loop_
_atom_site_label
_atom_site_type_symbol
_atom_site_fract_x
_atom_site_fract_y
_atom_site_fract_z
P1 P 0.0000 0.0000 0.0000
Ir1 Ir 0.0000 0.0000 0.5000
C1 C 0.0000 0.5000 0.5000
Se1 Se 0.5000 0.5000 0.0000


# 2
# TcPIrC2 (GGA-PBE, relaxed)
# Energy of formation from the pure elements = 2.01 eV per atom
# Size of the total moment = 0.00 μB/cell
# V = 12.7 Å³/atom
data_TcPIrC2
_cell_length_a 3.5959
_cell_length_b 3.5959
_cell_length_c 4.9258
_cell_angle_alpha 90.00
_cell_angle_beta 90.00
_cell_angle_gamma 90.00
_space_group_name_H-M_alt 'P 4/m m m'
_space_group_IT_number 123
_space_group_name_Hall '-P 4 2'
loop_
_atom_site_label
_atom_site_type_symbol
_atom_site_fract_x
_atom_site_fract_y
_atom_site_fract_z
Tc1 Tc 0.0000 0.0000 0.0000
P1 P 0.0000 0.0000 0.5000
Ir1 Ir 0.5000 0.5000 0.0000
C1 C 0.0000 0.5000 0.5000


# 3
# P2IrWC (GGA-PBE, relaxed)
# Energy of formation from the pure elements = 0.96 eV per atom
# Size of the total moment = 0.00 μB/cell
# V = 13.1 Å³/atom
data_P2IrWC
_cell_length_a 4.0591
_cell_length_b 4.0591
_cell_length_c 3.9707
_cell_angle_alpha 90.00
_cell_angle_beta 90.00
_cell_angle_gamma 90.00
_space_group_name_H-M_alt 'P 4/m m m'
_space_group_IT_number 123
_space_group_name_Hall '-P 4 2'
loop_
_atom_site_label
_atom_site_type_symbol
_atom_site_fract_x
_atom_site_fract_y
_atom_site_fract_z
P1 P 0.0000 0.5000 0.0000
Ir1 Ir 0.0000 0.0000 0.5000
W1 W 0.5000 0.5000 0.5000
C1 C 0.5000 0.5000 0.0000


# 4
# PaIrC (GGA-PBE, relaxed)
# Energy of formation from the pure elements = -0.41 eV per atom
# Size of the total moment = 0.00 μB/cell
# V = 16.7 Å³/atom
data_PaIrC
_cell_length_a 7.1365
_cell_length_b 6.9993
_cell_length_c 4.0218
_cell_angle_alpha 90.00
_cell_angle_beta 94.93
_cell_angle_gamma 90.00
_space_group_name_H-M_alt 'C 1 2/m 1'
_space_group_IT_number 12
loop_
_space_group_symop_operation_xyz
'x,y,z'
'-x,-y,-z'
'-x,y,-z'
'x,-y,z'
'x+1/2,y+1/2,z'
'-x+1/2,-y+1/2,-z'
'-x+1/2,y+1/2,-z'
'x+1/2,-y+1/2,z'
loop_
_atom_site_label
_atom_site_type_symbol
_atom_site_fract_x
_atom_site_fract_y
_atom_site_fract_z
Pa1 Pa 0.2387 0.0000 0.4086
Ir1 Ir 0.0000 0.2854 0.0000
C1 C 0.0000 0.2421 0.5000


# 5
# PaSi2Ir2C (GGA-PBE, relaxed)
# Size of the total moment = 0.00 μB/cell
# ΔE_f (raw) = 3.9 kcal/mol of atoms
# V = 20.9 Å³/atom
data_PaSi2Ir2C
_cell_length_a 3.7006
_cell_length_b 3.7006
_cell_length_c 18.2954
_cell_angle_alpha 90.00
_cell_angle_beta 90.00
_cell_angle_gamma 90.00
_space_group_name_H-M_alt 'I 4/m m m'
_space_group_IT_number 139
_space_group_name_Hall '-I 4 2'
loop_
_atom_site_label
_atom_site_type_symbol
_atom_site_fract_x
_atom_site_fract_y
_atom_site_fract_z
Pa1 Pa 0.0000 0.0000 0.0000
Si1 Si 0.0000 0.0000 0.1665
Ir1 Ir 0.0000 0.5000 0.2500
C1 C 0.0000 0.0000 0.5000


# 6
# PaSiIrC (GGA-PBE, relaxed)
# Size of the total moment = 0.00 μB/cell
# ΔE_f (raw) = -15.8 kcal/mol of atoms
# V = 15.7 Å³/atom
data_PaSiIrC
_cell_length_a 3.9131
_cell_length_b 3.9131
_cell_length_c 8.2165
_cell_angle_alpha 90.00
_cell_angle_beta 90.00
_cell_angle_gamma 90.00
_space_group_name_H-M_alt 'P 4/n m m'
_space_group_IT_number 129
loop_
_space_group_symop_operation_xyz
'x,y,z'
'-x,-y,-z'
'-y+1/2,x,z'
'y+1/2,-x,-z'
'-x+1/2,-y+1/2,z'
'x+1/2,y+1/2,-z'
'y,-x+1/2,z'
'-y,x+1/2,-z'
'x+1/2,-y,-z'
'-x+1/2,y,z'
'-y,-x,-z'
'y,x,z'
'-x,y+1/2,-z'
'x,-y+1/2,z'
'y+1/2,x+1/2,-z'
'-y+1/2,-x+1/2,z'
loop_
_atom_site_label
_atom_site_type_symbol
_atom_site_fract_x
_atom_site_fract_y
_atom_site_fract_z
Pa1 Pa 0.2500 0.2500 0.1636
Si1 Si 0.2500 0.2500 0.6623
Ir1 Ir 0.2500 0.7500 0.5000
C1 C 0.2500 0.2500 0.8869